A geometry-optimized CaBeAl3 structure, computed with PBE-GGA.

Computed properties:
The space-group type is Pm-3m. The calculated formation energy is 1.7018 eV per atom. The calculation puts the distance to the lowest polymorph of the same formula at 1.5173 eV per atom.

Geometry as POSCAR:
```
CaBeAl3
1.0
5.613 0.000 0.000
0.000 5.613 0.000
0.000 0.000 5.613
Be Al Ca
1 3 1
direct
0.500 0.500 0.500
0.000 0.000 0.500
0.500 0.000 0.000
0.000 0.500 0.000
0.000 0.000 0.000
```


A geometry-optimized SrFe2GeBr structure, computed with PBE-GGA.

Computed properties:
The space-group type is P4/mmm. The formation energy (no corrections) is 974 meV/atom.

Geometry as POSCAR:
```
SrFe2GeBr
1.0
-2.417 -2.886 2.363
1.059 -3.885 -3.661
3.628 -1.166 2.287
Ge Br Sr Fe
1 1 1 2
direct
0.000 0.500 0.000
0.000 0.000 0.000
0.500 0.500 0.500
0.500 0.000 0.000
0.000 0.000 0.500
```


no.,uncorrected energy (eV/cell),density (g/cm3),size of the total moment (μB/atom)
1,-8.45,1.2,0.00
2,-20.03,5.4,0.04